No. 1
The following is a GGA-PBE calculation of a geometry-optimized Pm7Ge2Sb2 structure, from Alexandria.

abc: 7.2484 7.2484 6.8001
angles: 90.00 90.00 100.74
With the nearest neighbours (Å) after each atom.
Fractional positions:
Pm (0.0000, 0.0000, 0.0000)  2 Ge 3.04
Pm (0.0000, 0.5000, 0.2640)  2 Ge 2.94, 1 Pm 3.21, 2 Sb 3.25
Pm (0.0000, 0.5000, 0.7360)  2 Ge 2.94, 1 Pm 3.21, 2 Sb 3.25
Pm (0.5000, 0.0000, 0.2640)  2 Ge 2.94, 1 Pm 3.21, 2 Sb 3.25
Pm (0.5000, 0.0000, 0.7360)  2 Ge 2.94, 1 Pm 3.21, 2 Sb 3.25
Pm (0.5000, 0.5000, 0.2459)  2 Ge 3.05, 2 Sb 3.28, 1 Pm 3.34
Pm (0.5000, 0.5000, 0.7541)  2 Ge 3.05, 2 Sb 3.28, 1 Pm 3.34
Ge (0.2719, 0.7281, 0.0000)  7 Pm 2.94-3.05
Ge (0.7281, 0.2719, 0.0000)  7 Pm 2.94-3.05
Sb (0.1984, 0.1984, 0.5000)  6 Pm 3.25-3.28
Sb (0.8016, 0.8016, 0.5000)  6 Pm 3.25-3.28

Summary:
Space group: Cmmm (65)
Formation energy from raw total energies in eV per atom: -0.54
Spin magnetization in μB per formula unit: 0.00
Energy in eV/atom: -5.15



No. 2
The following is a GGA-PBE calculation of a geometry-optimized Pm2Ho2In structure, from Alexandria.

abc: 5.4552 5.4552 12.2047
angles: 90.00 90.00 120.00
With the nearest neighbours (Å) after each atom.
Fractional positions:
Pm (0.3333, 0.6667, 0.0886)  6 Ho 3.33-3.71, 3 In 3.71
Pm (0.3333, 0.6667, 0.4114)  6 Ho 3.33-3.71, 3 In 3.71
Pm (0.6667, 0.3333, 0.5886)  6 Ho 3.33-3.71, 3 In 3.71
Pm (0.6667, 0.3333, 0.9114)  6 Ho 3.33-3.71, 3 In 3.71
Ho (0.0000, 0.0000, 0.0000)  2 In 3.05, 6 Pm 3.33
Ho (0.0000, 0.0000, 0.5000)  2 In 3.05, 6 Pm 3.33
Ho (0.3333, 0.6667, 0.7500)  3 In 3.15
Ho (0.6667, 0.3333, 0.2500)  3 In 3.15
In (0.0000, 0.0000, 0.2500)  5 Ho 3.05-3.15
In (0.0000, 0.0000, 0.7500)  5 Ho 3.05-3.15

Summary:
Space group: P6_3/mmc (194)
Calculated formation energy in eV per atom: -0.044
Spin magnetization in μB per formula unit: 0.00
Offset from the most stable computed form in eV/f.u.: 0.00
Energy in eV/atom: -4.32



No. 3
The following is a GGA-PBE calculation of a geometry-optimized Re2MoSe structure, from Alexandria.

abc: 8.8571 8.8571 8.8571
angles: 18.76 18.76 18.76
With the nearest neighbours (Å) after each atom.
Fractional positions:
Re (0.0000, 0.0000, 0.0000)  9 Re 2.67-2.89, 3 Se 2.85
Re (0.2533, 0.2533, 0.2533)  9 Re 2.67-2.89, 3 Mo 2.85
Mo (0.4982, 0.4982, 0.4982)  3 Se 2.59, 3 Re 2.85, 6 Mo 2.89
Se (0.7554, 0.7554, 0.7554)  3 Mo 2.59, 3 Re 2.85, 6 Se 2.89

Summary:
Space group: R3m (160)
Formation energy from raw total energies in eV per atom: 0.25
Spin magnetization in μB per formula unit: 0.00
Energy in eV/atom: -9.55



No. 4
The following is a GGA-PBE calculation of a geometry-optimized SrCd5Hg8 structure, from Alexandria.

abc: 7.8277 7.8277 7.8277
angles: 109.71 109.71 109.00
With the nearest neighbours (Å) after each atom.
Fractional positions:
Sr (0.0000, 0.0000, 0.0000)  8 Hg 3.33-3.40
Cd (0.0827, 0.5114, 0.8857)  7 Hg 3.00-3.14
Cd (0.2500, 0.7500, 0.5000)  8 Hg 3.07-3.14
Cd (0.4886, 0.3743, 0.5713)  7 Hg 3.00-3.14
Cd (0.6257, 0.1970, 0.1143)  7 Hg 3.00-3.14
Cd (0.8030, 0.9173, 0.4287)  7 Hg 3.00-3.14
Hg (0.0534, 0.3140, 0.4490)  5 Cd 3.00-3.13, 2 Hg 3.12-3.29, 1 Sr 3.33
Hg (0.2630, 0.1624, 0.7668)  4 Cd 3.05-3.14, 2 Hg 3.24-3.29, 1 Sr 3.40
Hg (0.3956, 0.4962, 0.2332)  4 Cd 3.05-3.14, 2 Hg 3.24-3.29, 1 Sr 3.40
Hg (0.3956, 0.9466, 0.2606)  5 Cd 3.00-3.13, 2 Hg 3.12-3.29, 1 Sr 3.33
Hg (0.5038, 0.7370, 0.8994)  4 Cd 3.05-3.14, 2 Hg 3.24-3.29, 1 Sr 3.40
Hg (0.6860, 0.1350, 0.7394)  5 Cd 3.00-3.13, 2 Hg 3.12-3.29, 1 Sr 3.33
Hg (0.8376, 0.6044, 0.1006)  4 Cd 3.05-3.14, 2 Hg 3.24-3.29, 1 Sr 3.40
Hg (0.8650, 0.6044, 0.5510)  5 Cd 3.00-3.13, 2 Hg 3.12-3.29, 1 Sr 3.33

Summary:
Space group: I-4 (82)
Calculated formation energy in eV per atom: -0.089
Spin magnetization in μB per formula unit: 0.00
Energy in eV/atom: -0.71



No. 5
The following is a GGA-PBE calculation of a geometry-optimized ZnTePtN2 structure, from Alexandria.

abc: 3.8734 3.8734 6.2566
angles: 90.00 90.00 90.00
With the nearest neighbours (Å) after each atom.
Fractional positions:
Zn (0.0000, 0.0000, 0.0000)  4 N 1.94
Te (0.0000, 0.0000, 0.5000)  4 Pt 2.74
Pt (0.5000, 0.5000, 0.5000)  4 Te 2.74
N (0.0000, 0.5000, 0.0000)  2 Zn 1.94
N (0.5000, 0.0000, 0.0000)  2 Zn 1.94

Summary:
Space group: P4/mmm (123)
Formation energy from raw total energies in eV per atom: 1.52
Spin magnetization in μB per formula unit: 3.52
Offset from the most stable computed form in eV/f.u.: 2.50
Energy in eV/atom: -3.91



No. 6
The following is a GGA-PBE calculation of a geometry-optimized SiTc2P structure, from Alexandria.

abc: 3.1120 3.1120 5.5455
angles: 90.00 90.00 90.00
With the nearest neighbours (Å) after each atom.
Fractional positions:
Si (0.0000, 0.0000, 0.0000)  5 Tc 2.43-2.51, 4 P 2.64
Tc (0.0000, 0.0000, 0.5475)  4 P 2.44, 1 Si 2.51
Tc (0.5000, 0.5000, 0.1855)  4 Si 2.43, 1 P 2.48
P (0.5000, 0.5000, 0.7376)  5 Tc 2.44-2.48, 4 Si 2.64

Summary:
Space group: P4mm (99)
Formation energy from raw total energies in eV per atom: -0.44
Spin magnetization in μB per formula unit: 0.00
Offset from the most stable computed form in eV/f.u.: 0.26
Energy in eV/atom: -8.33



No. 7
The following is a GGA-PBE calculation of a geometry-optimized TaCr2InAu structure, from Alexandria.

abc: 4.6880 4.6880 5.2135
angles: 90.00 90.00 90.00
With the nearest neighbours (Å) after each atom.
Fractional positions:
Ta (0.0000, 0.0000, 0.0000)  4 Cr 2.34, 2 Au 2.61
Cr (0.0000, 0.5000, 0.0000)  2 Ta 2.34
Cr (0.5000, 0.0000, 0.0000)  2 Ta 2.34
In (0.5000, 0.5000, 0.5000)  4 Au 3.31, 8 Cr 3.51
Au (0.0000, 0.0000, 0.5000)  2 Ta 2.61

Summary:
Space group: P4/mmm (123)
Calculated formation energy in eV per atom: 1.243
Spin magnetization in μB per formula unit: 4.94
Energy in eV/atom: -6.18



No. 8
The following is a GGA-PBE calculation of a geometry-optimized Nd5GaGe2 structure, from Alexandria.

abc: 9.0544 9.0544 9.0544
angles: 128.10 128.10 76.46
With the nearest neighbours (Å) after each atom.
Fractional positions:
Nd (0.0000, 0.0000, 0.0000)  4 Ge 3.14
Nd (0.0297, 0.5297, 0.8492)  3 Ge 3.06-3.16, 2 Ga 3.29
Nd (0.1805, 0.0297, 0.5000)  3 Ge 3.06-3.16, 2 Ga 3.29
Nd (0.3195, 0.8195, 0.8492)  3 Ge 3.06-3.16, 2 Ga 3.29
Nd (0.4703, 0.3195, 0.5000)  3 Ge 3.06-3.16, 2 Ga 3.29
Nd (0.5000, 0.5000, 0.0000)  4 Ge 3.14
Nd (0.5297, 0.6805, 0.5000)  3 Ge 3.06-3.16, 2 Ga 3.29
Nd (0.6805, 0.1805, 0.1508)  3 Ge 3.06-3.16, 2 Ga 3.29
Nd (0.8195, 0.9703, 0.5000)  3 Ge 3.06-3.16, 2 Ga 3.29
Nd (0.9703, 0.4703, 0.1508)  3 Ge 3.06-3.16, 2 Ga 3.29
Ga (0.2500, 0.2500, 0.0000)  10 Nd 3.29-3.56
Ga (0.7500, 0.7500, 0.0000)  10 Nd 3.29-3.56
Ge (0.1240, 0.3760, 0.5000)  1 Ge 2.78, 2 Nd 3.06
Ge (0.3760, 0.8760, 0.2520)  1 Ge 2.78, 2 Nd 3.06
Ge (0.6240, 0.1240, 0.7480)  1 Ge 2.78, 2 Nd 3.06
Ge (0.8760, 0.6240, 0.5000)  1 Ge 2.78, 2 Nd 3.06

Summary:
Space group: I4/mcm (140)
Calculated formation energy in eV per atom: -0.608
Spin magnetization in μB per formula unit: 0.00
Energy in eV/atom: -5.12



No. 9
The following is a GGA-PBE calculation of a geometry-optimized Cr2TcPtRh structure, from Alexandria.

abc: 4.3255 4.3255 4.6745
angles: 90.00 90.00 90.00
With the nearest neighbours (Å) after each atom.
Fractional positions:
Cr (0.0000, 0.5000, 0.0000)  2 Tc 2.16
Cr (0.5000, 0.0000, 0.0000)  2 Tc 2.16
Tc (0.0000, 0.0000, 0.0000)  4 Cr 2.16, 2 Rh 2.34
Pt (0.5000, 0.5000, 0.5000)  4 Rh 3.06, 8 Cr 3.18
Rh (0.0000, 0.0000, 0.5000)  2 Tc 2.34

Summary:
Space group: P4/mmm (123)
Calculated formation energy in eV per atom: 1.439
Spin magnetization in μB per formula unit: 0.00
Energy in eV/atom: -7.16



No. 10
The following is a GGA-PBE calculation of a geometry-optimized ThGa4Pd2 structure, from Alexandria.

abc: 7.8819 7.8819 4.2226
angles: 90.00 90.00 90.00
With the nearest neighbours (Å) after each atom.
Fractional positions:
Th (0.0000, 0.0000, 0.0000)  6 Pd 3.15-3.23, 12 Ga 3.44-3.51
Th (0.5000, 0.5000, 0.5000)  6 Pd 3.15-3.23, 12 Ga 3.44-3.51
Ga (0.0874, 0.3335, 0.5000)  3 Pd 2.54-2.67, 1 Ga 2.74
Ga (0.1665, 0.5874, 0.0000)  3 Pd 2.54-2.67, 1 Ga 2.74
Ga (0.3335, 0.0874, 0.5000)  3 Pd 2.54-2.67, 1 Ga 2.74
Ga (0.4126, 0.8335, 0.0000)  3 Pd 2.54-2.67, 1 Ga 2.74
Ga (0.5874, 0.1665, 0.0000)  3 Pd 2.54-2.67, 1 Ga 2.74
Ga (0.6665, 0.9126, 0.5000)  3 Pd 2.54-2.67, 1 Ga 2.74
Ga (0.8335, 0.4126, 0.0000)  3 Pd 2.54-2.67, 1 Ga 2.74
Ga (0.9126, 0.6665, 0.5000)  3 Pd 2.54-2.67, 1 Ga 2.74
Pd (0.2099, 0.7901, 0.5000)  6 Ga 2.54-2.67
Pd (0.2901, 0.2901, 0.0000)  6 Ga 2.54-2.67
Pd (0.7099, 0.7099, 0.0000)  6 Ga 2.54-2.67
Pd (0.7901, 0.2099, 0.5000)  6 Ga 2.54-2.67

Summary:
Space group: P4_2/mnm (136)
Calculated formation energy in eV per atom: -0.540
Spin magnetization in μB per formula unit: 0.00
Offset from the most stable computed form in eV/f.u.: 0.92
Energy in eV/atom: -4.81



No. 11
The following is a GGA-PBE calculation of a geometry-optimized KTcRu2 structure, from Alexandria.

abc: 5.3442 5.3442 2.5640
angles: 90.00 90.00 110.99
With the nearest neighbours (Å) after each atom.
Fractional positions:
K (0.0000, 0.0000, 0.0000)  2 K 2.56
Tc (0.5000, 0.5000, 0.0000)  2 Tc 2.56
Ru (0.0000, 0.5000, 0.5000)  2 Ru 2.56
Ru (0.5000, 0.0000, 0.5000)  2 Ru 2.56

Summary:
Space group: Cmmm (65)
Calculated formation energy in eV per atom: 1.347
Spin magnetization in μB per formula unit: 1.60
Offset from the most stable computed form in eV/f.u.: 2.79
Energy in eV/atom: -6.16



No. 12
The following is a GGA-PBE calculation of a geometry-optimized U2Ni3P4Pd structure, from Alexandria.

abc: 4.0508 4.0508 9.1406
angles: 90.00 90.00 90.00
With the nearest neighbours (Å) after each atom.
Fractional positions:
U (0.0000, 0.5000, 0.2385)  8 P 2.98-3.05, 7 Ni 3.10-3.18, 2 Pd 3.13
U (0.5000, 0.0000, 0.7615)  8 P 2.98-3.05, 7 Ni 3.10-3.18, 2 Pd 3.13
Ni (0.0000, 0.5000, 0.8904)  5 P 2.24-2.26
Ni (0.5000, 0.0000, 0.1096)  5 P 2.24-2.26
Ni (0.5000, 0.5000, 0.5000)  4 P 2.42
P (0.0000, 0.0000, 0.0000)  4 Ni 2.26
P (0.0000, 0.5000, 0.6459)  3 Ni 2.24-2.42, 2 Pd 2.42
P (0.5000, 0.0000, 0.3541)  3 Ni 2.24-2.42, 2 Pd 2.42
P (0.5000, 0.5000, 0.0000)  4 Ni 2.26
Pd (0.0000, 0.0000, 0.5000)  4 P 2.42

Summary:
Space group: P-4m2 (115)
Calculated formation energy in eV per atom: -0.725
Spin magnetization in μB per formula unit: 4.28
Energy in eV/atom: -7.40